# Pm5TlPd2, relaxed, DFT PBE-GGA
data_Pm5TlPd2
_chemical_formula_sum 'Pm10 Tl2 Pd4'
_cell_length_a 8.089
_cell_length_b 8.089
_cell_length_c 8.922
_cell_angle_alpha 116.96
_cell_angle_beta 116.96
_cell_angle_gamma 90.00
_symmetry_space_group_name_H-M 'P 1'
_symmetry_Int_Tables_number 1
loop_
_symmetry_equiv_pos_as_xyz
'x,y,z'
loop_
_atom_site_label
_atom_site_fract_x
_atom_site_fract_y
_atom_site_fract_z
Pm1 0.017 0.517 0.718
Pm2 0.983 0.483 0.282
Pm3 0.799 0.983 0.282
Pd1 0.368 0.868 0.000
Pd2 0.868 0.632 0.000
Pm4 0.000 0.000 0.000
Pm5 0.701 0.201 0.718
Pm6 0.299 0.799 0.282
Pd3 0.132 0.368 0.000
Pm7 0.517 0.701 0.718
Pm8 0.500 0.500 0.000
Pd4 0.632 0.132 0.000
Pm9 0.201 0.017 0.718
Tl1 0.750 0.750 0.500
Tl2 0.250 0.250 0.500
Pm10 0.483 0.299 0.282
# Calculated total energy ... -5.074 eV per atom
# SG ... No. 140
# Crystal system ... tetragonal
# Total magnetic moment ... 0.000 μB/cell
# ΔE_f ... -0.510 eV/atom



# Pm8TlPd2, relaxed, DFT PBE-GGA
data_Pm8TlPd2
_chemical_formula_sum 'Pm8 Tl1 Pd2'
_cell_length_a 5.647
_cell_length_b 8.272
_cell_length_c 8.272
_cell_angle_alpha 115.27
_cell_angle_beta 98.58
_cell_angle_gamma 98.58
_symmetry_space_group_name_H-M 'P 1'
_symmetry_Int_Tables_number 1
loop_
_symmetry_equiv_pos_as_xyz
'x,y,z'
loop_
_atom_site_label
_atom_site_fract_x
_atom_site_fract_y
_atom_site_fract_z
Pm1 0.073 0.083 0.329
Pd1 0.000 0.699 0.301
Pm2 0.500 0.758 0.242
Pm3 0.927 0.917 0.671
Pm4 0.927 0.671 0.917
Pm5 0.691 0.395 0.395
Pm6 0.309 0.605 0.605
Tl1 0.500 0.000 0.000
Pd2 0.000 0.301 0.699
Pm7 0.500 0.242 0.758
Pm8 0.073 0.329 0.083
# Calculated total energy ... -4.883 eV per atom
# SG ... No. 12
# Crystal system ... monoclinic
# Total magnetic moment ... 0.000 μB/cell
# Energy above the lowest structure with this stoichiometry ... 73.2 meV/atom
# ΔE_f ... -0.269 eV/atom



# Pm3Tl2Pd4, relaxed, DFT PBE-GGA
data_Pm3Tl2Pd4
_chemical_formula_sum 'Pm3 Tl2 Pd4'
_cell_length_a 4.612
_cell_length_b 5.461
_cell_length_c 9.212
_cell_angle_alpha 91.76
_cell_angle_beta 90.00
_cell_angle_gamma 114.98
_symmetry_space_group_name_H-M 'P 1'
_symmetry_Int_Tables_number 1
loop_
_symmetry_equiv_pos_as_xyz
'x,y,z'
loop_
_atom_site_label
_atom_site_fract_x
_atom_site_fract_y
_atom_site_fract_z
Pd1 0.925 0.849 0.374
Pm1 0.370 0.739 0.612
Pm2 0.630 0.261 0.388
Pd2 0.295 0.591 0.914
Pm3 0.000 0.000 0.000
Pd3 0.705 0.409 0.086
Tl1 0.329 0.659 0.219
Pd4 0.075 0.151 0.626
Tl2 0.671 0.341 0.781
# Calculated total energy ... -5.037 eV per atom
# SG ... No. 12
# Crystal system ... monoclinic
# Total magnetic moment ... 0.000 μB/cell
# ΔE_f ... -0.620 eV/atom



# Pm5Tl2Pd, relaxed, DFT PBE-GGA
data_Pm5Tl2Pd
_chemical_formula_sum 'Pm10 Tl4 Pd2'
_cell_length_a 4.946
_cell_length_b 7.522
_cell_length_c 12.801
_cell_angle_alpha 90.00
_cell_angle_beta 90.00
_cell_angle_gamma 90.00
_symmetry_space_group_name_H-M 'P 1'
_symmetry_Int_Tables_number 1
loop_
_symmetry_equiv_pos_as_xyz
'x,y,z'
loop_
_atom_site_label
_atom_site_fract_x
_atom_site_fract_y
_atom_site_fract_z
Pd1 0.000 0.500 0.500
Tl1 0.500 0.598 0.162
Pm1 0.500 0.680 0.419
Pm2 0.500 0.180 0.081
Pm3 0.000 0.628 0.713
Pm4 0.000 0.000 0.500
Pm5 0.500 0.820 0.919
Pm6 0.000 0.128 0.787
Pm7 0.000 0.372 0.287
Pd2 0.000 0.000 0.000
Pm8 0.000 0.500 0.000
Pm9 0.000 0.872 0.213
Tl2 0.500 0.098 0.338
Tl3 0.500 0.402 0.838
Pm10 0.500 0.320 0.581
Tl4 0.500 0.902 0.662
# Calculated total energy ... -4.605 eV per atom
# SG ... No. 55
# Crystal system ... orthorhombic
# Total magnetic moment ... 0.000 μB/cell
# ΔE_f ... -0.395 eV/atom



# Pm8Tl2Pd, relaxed, DFT PBE-GGA
data_Pm8Tl2Pd
_chemical_formula_sum 'Pm8 Tl2 Pd1'
_cell_length_a 5.177
_cell_length_b 6.954
_cell_length_c 10.015
_cell_angle_alpha 102.67
_cell_angle_beta 104.98
_cell_angle_gamma 90.00
_symmetry_space_group_name_H-M 'P 1'
_symmetry_Int_Tables_number 1
loop_
_symmetry_equiv_pos_as_xyz
'x,y,z'
loop_
_atom_site_label
_atom_site_fract_x
_atom_site_fract_y
_atom_site_fract_z
Tl1 0.184 0.758 0.368
Tl2 0.816 0.242 0.632
Pm1 0.649 0.990 0.298
Pm2 0.409 0.534 0.819
Pm3 0.016 0.775 0.032
Pd1 0.500 0.000 0.000
Pm4 0.791 0.682 0.582
Pm5 0.591 0.466 0.181
Pm6 0.351 0.010 0.702
Pm7 0.209 0.318 0.418
Pm8 0.984 0.225 0.968
# Calculated total energy ... -4.613 eV per atom
# SG ... No. 12
# Crystal system ... monoclinic
# Total magnetic moment ... 0.000 μB/cell
# ΔE_f ... -0.255 eV/atom



# Pm2TlPd8, relaxed, DFT PBE-GGA
data_Pm2TlPd8
_chemical_formula_sum 'Pm2 Tl1 Pd8'
_cell_length_a 4.735
_cell_length_b 6.156
_cell_length_c 8.235
_cell_angle_alpha 111.96
_cell_angle_beta 106.71
_cell_angle_gamma 90.00
_symmetry_space_group_name_H-M 'P 1'
_symmetry_Int_Tables_number 1
loop_
_symmetry_equiv_pos_as_xyz
'x,y,z'
loop_
_atom_site_label
_atom_site_fract_x
_atom_site_fract_y
_atom_site_fract_z
Pd1 0.823 0.822 0.645
Pm1 0.812 0.312 0.624
Pm2 0.188 0.688 0.376
Pd2 0.358 0.591 0.715
Tl1 0.500 0.000 0.000
Pd3 0.177 0.178 0.355
Pd4 0.000 0.739 0.000
Pd5 0.000 0.261 0.000
Pd6 0.643 0.876 0.285
Pd7 0.642 0.409 0.285
Pd8 0.357 0.124 0.715
# Calculated total energy ... -5.314 eV per atom
# SG ... No. 71
# Crystal system ... orthorhombic
# Total magnetic moment ... 0.000 μB/cell
# ΔE_f ... -0.459 eV/atom



Q: Which of these has the lowest ΔE_f?
A: Pm3Tl2Pd4



Q: What is the formula in the fifth record?
A: Pm8Tl2Pd



Repeat the fourth record exactly.
# Pm5Tl2Pd, relaxed, DFT PBE-GGA
data_Pm5Tl2Pd
_chemical_formula_sum 'Pm10 Tl4 Pd2'
_cell_length_a 4.946
_cell_length_b 7.522
_cell_length_c 12.801
_cell_angle_alpha 90.00
_cell_angle_beta 90.00
_cell_angle_gamma 90.00
_symmetry_space_group_name_H-M 'P 1'
_symmetry_Int_Tables_number 1
loop_
_symmetry_equiv_pos_as_xyz
'x,y,z'
loop_
_atom_site_label
_atom_site_fract_x
_atom_site_fract_y
_atom_site_fract_z
Pd1 0.000 0.500 0.500
Tl1 0.500 0.598 0.162
Pm1 0.500 0.680 0.419
Pm2 0.500 0.180 0.081
Pm3 0.000 0.628 0.713
Pm4 0.000 0.000 0.500
Pm5 0.500 0.820 0.919
Pm6 0.000 0.128 0.787
Pm7 0.000 0.372 0.287
Pd2 0.000 0.000 0.000
Pm8 0.000 0.500 0.000
Pm9 0.000 0.872 0.213
Tl2 0.500 0.098 0.338
Tl3 0.500 0.402 0.838
Pm10 0.500 0.320 0.581
Tl4 0.500 0.902 0.662
# Calculated total energy ... -4.605 eV per atom
# SG ... No. 55
# Crystal system ... orthorhombic
# Total magnetic moment ... 0.000 μB/cell
# ΔE_f ... -0.395 eV/atom